{
  "formula": "KNbAgTe3",
  "functional": "GGA-PBE",
  "state": "optimized geometry",
  "lattice": [[13.092, 0.000, 0.000], [0.000, 4.155, 0.000], [0.000, 0.000, 13.365]],
  "species": ["Ag", "Ag", "Ag", "Ag", "Te", "Te", "Te", "Te", "Te", "Te", "Te", "Te", "Te", "Te", "Te", "Te", "K", "K", "K", "K", "Nb", "Nb", "Nb", "Nb"],
  "frac_coords": [[0.747, 0.000, 0.206], [0.753, 0.500, 0.706], [0.253, 0.500, 0.794], [0.247, 0.000, 0.294], [0.083, 0.000, 0.433], [0.470, 0.000, 0.305], [0.253, 0.000, 0.655], [0.747, 0.500, 0.345], [0.753, 0.000, 0.845], [0.583, 0.000, 0.067], [0.917, 0.500, 0.567], [0.530, 0.500, 0.695], [0.030, 0.500, 0.805], [0.970, 0.000, 0.195], [0.417, 0.500, 0.933], [0.247, 0.500, 0.155], [0.842, 0.500, 0.024], [0.158, 0.000, 0.976], [0.658, 0.000, 0.524], [0.342, 0.500, 0.476], [0.045, 0.000, 0.656], [0.455, 0.500, 0.156], [0.545, 0.000, 0.844], [0.955, 0.500, 0.344]],
  "total_magnetization_mub_per_cell": 4.01,
  "rho_g_cm3": 5.7,
  "dft_energy_ev_per_atom": -4.263
}

{
  "formula": "Gd3In3AgPd2",
  "functional": "GGA-PBE",
  "state": "optimized geometry",
  "lattice": [[7.768, 0.000, 0.000], [-3.884, 6.728, 0.000], [0.000, 0.000, 3.930]],
  "species": ["In", "In", "In", "Pd", "Pd", "Gd", "Gd", "Gd", "Ag"],
  "frac_coords": [[0.000, 0.735, 0.000], [0.735, 0.000, 0.000], [0.265, 0.265, 0.000], [0.333, 0.667, 0.000], [0.667, 0.333, 0.000], [0.410, 0.000, 0.500], [0.590, 0.590, 0.500], [0.000, 0.410, 0.500], [0.000, 0.000, 0.500]],
  "total_magnetization_mub_per_cell": 0.01,
  "rho_g_cm3": 9.2,
  "dft_energy_ev_per_atom": -4.621
}

{
  "formula": "YCoTcAs",
  "functional": "GGA-PBE",
  "state": "optimized geometry",
  "lattice": [[0.000, 3.153, 3.153], [3.153, 0.000, 3.153], [3.153, 3.153, 0.000]],
  "species": ["Y", "Tc", "Co", "As"],
  "frac_coords": [[0.500, 0.500, 0.500], [0.250, 0.250, 0.250], [0.750, 0.750, 0.750], [0.000, 0.000, 0.000]],
  "total_magnetization_mub_per_cell": 0.00,
  "de_polymorph_ev_per_fu": 0.000,
  "rho_g_cm3": 8.5,
  "dft_energy_ev_per_atom": -7.169
}

{
  "formula": "TlAg2IrS4",
  "functional": "GGA-PBE",
  "state": "optimized geometry",
  "lattice": [[3.336, -3.318, 5.512], [-4.621, -1.236, 5.444], [-0.300, -1.379, -7.108]],
  "species": ["S", "S", "S", "S", "Ag", "Ag", "Ir", "Tl"],
  "frac_coords": [[0.096, 0.647, 0.952], [0.695, 0.143, 0.048], [0.857, 0.904, 0.552], [0.353, 0.305, 0.448], [0.750, 0.250, 0.500], [0.500, 0.500, 0.000], [0.000, 0.000, 0.000], [0.250, 0.750, 0.500]],
  "total_magnetization_mub_per_cell": 0.00,
  "rho_g_cm3": 6.1,
  "dft_energy_ev_per_atom": -4.214
}

{
  "formula": "Ba2NaTcS6",
  "functional": "GGA-PBE",
  "state": "optimized geometry",
  "lattice": [[6.051, -3.493, 0.000], [6.051, 3.493, 0.000], [-4.034, 0.000, 5.705]],
  "species": ["S", "S", "S", "S", "S", "S", "Na", "Ba", "Ba", "Tc"],
  "frac_coords": [[0.762, 0.762, 0.762], [0.238, 0.238, 0.238], [0.762, 0.238, 0.238], [0.238, 0.762, 0.238], [0.238, 0.762, 0.762], [0.762, 0.238, 0.762], [0.500, 0.500, 0.500], [0.750, 0.750, 0.250], [0.250, 0.250, 0.750], [0.000, 0.000, 0.000]],
  "total_magnetization_mub_per_cell": 0.07,
  "de_polymorph_ev_per_fu": 0.410,
  "rho_g_cm3": 4.0,
  "dft_energy_ev_per_atom": -4.920
}

{
  "formula": "NiBr3",
  "functional": "GGA-PBE",
  "state": "optimized geometry",
  "lattice": [[-6.073, 0.152, 1.181], [1.777, -2.290, -5.468], [1.031, -11.355, 5.387]],
  "species": ["Ni", "Ni", "Ni", "Ni", "Br", "Br", "Br", "Br", "Br", "Br", "Br", "Br", "Br", "Br", "Br", "Br"],
  "frac_coords": [[0.999, 0.001, 0.750], [0.334, 0.666, 0.750], [0.001, 0.999, 0.250], [0.666, 0.334, 0.250], [0.313, 0.339, 0.639], [0.305, 0.971, 0.861], [0.979, 0.671, 0.139], [0.029, 0.695, 0.639], [0.339, 0.313, 0.139], [0.695, 0.029, 0.139], [0.687, 0.661, 0.361], [0.971, 0.305, 0.361], [0.021, 0.329, 0.861], [0.329, 0.021, 0.361], [0.661, 0.687, 0.861], [0.671, 0.979, 0.639]],
  "total_magnetization_mub_per_cell": 4.01,
  "rho_g_cm3": 4.6,
  "dft_energy_ev_per_atom": -2.887
}

{
  "formula": "MgReGe2O6",
  "functional": "GGA-PBE",
  "state": "optimized geometry",
  "lattice": [[0.000, 3.877, 3.877], [3.877, 0.000, 3.877], [3.877, 3.877, 0.000]],
  "species": ["O", "O", "O", "O", "O", "O", "Mg", "Ge", "Ge", "Re"],
  "frac_coords": [[0.255, 0.745, 0.745], [0.255, 0.745, 0.255], [0.255, 0.255, 0.745], [0.745, 0.745, 0.255], [0.745, 0.255, 0.255], [0.745, 0.255, 0.745], [0.000, 0.000, 0.000], [0.750, 0.750, 0.750], [0.250, 0.250, 0.250], [0.500, 0.500, 0.500]],
  "total_magnetization_mub_per_cell": 0.07,
  "rho_g_cm3": 6.4,
  "dft_energy_ev_per_atom": -6.581
}

{
  "formula": "DyNbTeC",
  "functional": "GGA-PBE",
  "state": "optimized geometry",
  "lattice": [[-2.289, -0.215, -2.771], [3.463, -0.876, -0.454], [-2.807, -12.810, 3.311]],
  "species": ["Nb", "Nb", "C", "C", "Te", "Te", "Dy", "Dy"],
  "frac_coords": [[0.333, 0.667, 0.074], [0.667, 0.333, 0.926], [0.000, 0.000, 0.000], [0.000, 0.000, 0.500], [0.333, 0.667, 0.775], [0.667, 0.333, 0.225], [0.333, 0.667, 0.401], [0.667, 0.333, 0.599]],
  "total_magnetization_mub_per_cell": 0.00,
  "de_polymorph_ev_per_fu": 0.000,
  "rho_g_cm3": 8.6,
  "dft_energy_ev_per_atom": -7.366
}

{
  "formula": "ErSiNi",
  "functional": "GGA-PBE",
  "state": "optimized geometry",
  "lattice": [[6.558, 0.000, 0.000], [-3.279, 5.680, 0.000], [0.000, 0.000, 4.039]],
  "species": ["Si", "Si", "Si", "Er", "Er", "Er", "Ni", "Ni", "Ni"],
  "frac_coords": [[0.333, 0.667, 0.500], [0.667, 0.333, 0.500], [0.000, 0.000, 0.000], [0.427, 0.427, 0.000], [0.000, 0.573, 0.000], [0.573, 0.000, 0.000], [0.233, 0.000, 0.500], [0.000, 0.233, 0.500], [0.767, 0.767, 0.500]],
  "total_magnetization_mub_per_cell": 0.00,
  "rho_g_cm3": 8.4,
  "dft_energy_ev_per_atom": -5.910
}

{
  "formula": "ZrTlP2S7",
  "functional": "GGA-PBE",
  "state": "optimized geometry",
  "lattice": [[-5.098, 0.099, -4.290], [-2.306, -4.970, 3.792], [-2.107, 4.765, 3.717]],
  "species": ["P", "P", "S", "S", "S", "S", "S", "S", "S", "Zr", "Tl"],
  "frac_coords": [[0.058, 0.335, 0.591], [0.665, 0.942, 0.409], [0.827, 0.438, 0.748], [0.318, 0.372, 0.803], [0.628, 0.682, 0.197], [0.546, 0.868, 0.675], [0.994, 0.006, 0.500], [0.132, 0.454, 0.325], [0.562, 0.173, 0.252], [0.511, 0.489, 0.500], [0.108, 0.892, 0.000]],
  "total_magnetization_mub_per_cell": 0.06,
  "rho_g_cm3": 3.5,
  "dft_energy_ev_per_atom": -5.157
}

{
  "formula": "Zr4ZnCdC2",
  "functional": "GGA-PBE",
  "state": "optimized geometry",
  "lattice": [[3.329, 0.000, 0.000], [-1.665, 2.883, 0.000], [0.000, 0.000, 14.887]],
  "species": ["Zr", "Zr", "Zr", "Zr", "Cd", "C", "C", "Zn"],
  "frac_coords": [[0.667, 0.333, 0.173], [0.000, 0.000, 0.657], [0.000, 0.000, 0.343], [0.667, 0.333, 0.827], [0.000, 0.000, 0.000], [0.333, 0.667, 0.257], [0.333, 0.667, 0.743], [0.667, 0.333, 0.500]],
  "total_magnetization_mub_per_cell": 0.11,
  "rho_g_cm3": 6.6,
  "dft_energy_ev_per_atom": -7.365
}

{
  "formula": "BeCuMoIr",
  "functional": "GGA-PBE",
  "state": "optimized geometry",
  "lattice": [[-0.288, -3.001, -2.828], [-3.709, -1.176, -1.396], [-1.136, 0.908, -3.870]],
  "species": ["Mo", "Be", "Cu", "Ir"],
  "frac_coords": [[0.000, 0.000, 0.000], [0.750, 0.750, 0.750], [0.250, 0.250, 0.250], [0.500, 0.500, 0.500]],
  "total_magnetization_mub_per_cell": 0.27,
  "de_polymorph_ev_per_fu": 0.414,
  "rho_g_cm3": 12.0,
  "dft_energy_ev_per_atom": -6.715
}